Entry 1:
This record from Alexandria describes crystalline HfZn3Bi at its relaxed geometry. The functional is PBE-GGA.

- formation energy from the elements (eV/atom) = 1.150

a b c (Å): 5.165 5.165 5.165
angles (deg): 90.00 90.00 90.00
Space group Pm-3m (No. 221)
Inequivalent atoms, fractional coordinates:
Hf1 0.000 0.000 0.000 (multiplicity 1)
Zn1 0.000 0.500 0.500 (multiplicity 3)
Bi1 0.500 0.500 0.500 (multiplicity 1)

---

Entry 2:
This record from Alexandria describes crystalline BeGa2Se at its relaxed geometry. The functional is PBE-GGA.

- uncorrected formation energy (eV per atom) = 0.4589

a b c (Å): 6.583 6.583 6.583
angles (deg): 90.00 90.00 90.00
Space group Fm-3m (No. 225)
Inequivalent atoms, fractional coordinates:
Be1 0.000 0.000 0.000 (multiplicity 4)
Ga1 0.250 0.250 0.250 (multiplicity 8)
Se1 0.000 0.000 0.500 (multiplicity 4)

---

Entry 3:
This record from Alexandria describes crystalline Sn2AsRu at its relaxed geometry. The functional is PBE-GGA.

- formation energy from the elements (eV/atom) = 0.374

a b c (Å): 6.204 6.204 11.876
angles (deg): 90.00 90.00 90.00
Space group I-42d (No. 122)
Inequivalent atoms, fractional coordinates:
Sn1 0.229 0.250 0.125 (multiplicity 8)
As1 0.000 0.000 0.500 (multiplicity 4)
Ru1 0.000 0.000 0.000 (multiplicity 4)

---

Entry 4:
This record from Alexandria describes crystalline BaSr2As at its relaxed geometry. The functional is PBE-GGA.

- formation energy from the elements (eV/atom) = -0.594

a b c (Å): 6.659 13.624 4.504
angles (deg): 90.00 90.00 90.00
Space group Cmmm (No. 65)
Inequivalent atoms, fractional coordinates:
Ba1 0.000 0.000 0.000 (multiplicity 2)
Sr1 0.000 0.347 0.500 (multiplicity 4)
As1 0.000 0.500 0.000 (multiplicity 2)

---

Entry 5:
This record from Alexandria describes crystalline HoCo2B at its relaxed geometry. The functional is PBE-GGA.

- formation energy from the elements (eV/atom) = -0.272

a b c (Å): 3.433 3.433 9.455
angles (deg): 90.00 90.00 90.00
Space group P4/nmm (No. 129, origin choice 2)
Inequivalent atoms, fractional coordinates:
Ho1 0.250 0.250 0.248 (multiplicity 2)
Co1 0.250 0.250 0.961 (multiplicity 2)
Co2 0.250 0.750 0.500 (multiplicity 2)
B1 0.250 0.250 0.607 (multiplicity 2)

---

Entry 6:
This record from Alexandria describes crystalline Nd3Dy2Ho8 at its relaxed geometry. The functional is PBE-GGA.

- formation energy from the elements (eV/atom) = 0.249

a b c (Å): 20.069 7.702 5.630
angles (deg): 90.00 90.03 90.00
Space group C2/m (No. 12)
Inequivalent atoms, fractional coordinates:
Nd1 0.000 0.000 0.000 (multiplicity 2)
Nd2 0.000 0.292 0.500 (multiplicity 4)
Dy1 0.241 0.000 0.999 (multiplicity 4)
Ho1 0.109 0.291 0.000 (multiplicity 8)
Ho2 0.135 0.000 0.500 (multiplicity 4)
Ho3 0.172 0.500 0.501 (multiplicity 4)

---

| no. | D(E_F) (states/eV per atom) |
| --- | --- |
| 1 | 0.892 |
| 2 | 0.423 |
| 3 | 0.903 |
| 4 | 0.798 |
| 5 | 0.870 |
| 6 | 1.699 |